No. 1
Here is a relaxed TmGa3CoNi crystal from Alexandria via LeMat-Bulk. Energies are from PBE. Values from VASP.

Quantum ESPRESSO input file:
```
&SYSTEM
  ibrav = 0, nat = 12, ntyp = 4
/
ATOMIC_SPECIES
Ga 69.72 Ga.upf
Ni 58.69 Ni.upf
Tm 168.93 Tm.upf
Co 58.93 Co.upf
ATOMIC_POSITIONS crystal
Ga 0.5000 0.7445 0.0000
Ga 0.0000 0.2555 0.0000
Ga 0.0000 0.7445 0.0000
Ga 0.7500 0.8126 0.6252
Ga 0.5000 0.2555 0.0000
Ga 0.2500 0.1874 0.3748
Ni 0.2500 0.9559 0.9119
Ni 0.7500 0.0441 0.0881
Tm 0.2500 0.6959 0.3919
Tm 0.7500 0.3041 0.6081
Co 0.7500 0.5791 0.1583
Co 0.2500 0.4209 0.8417
CELL_PARAMETERS angstrom
-0.5799 3.4038 -3.9927
1.9038 -5.6429 -5.0872
-5.8634 1.5209 2.1482
```

Formation enthalpy at 0 K (meV per atom): -279
Final energy (eV/atom): -4.686



No. 2
Here is a relaxed TmGaCoNi crystal from Alexandria via LeMat-Bulk. Energies are from PBE. Values from VASP.

Quantum ESPRESSO input file:
```
&SYSTEM
  ibrav = 0, nat = 4, ntyp = 4
/
ATOMIC_SPECIES
Ni 58.69 Ni.upf
Ga 69.72 Ga.upf
Tm 168.93 Tm.upf
Co 58.93 Co.upf
ATOMIC_POSITIONS crystal
Ni 0.2500 0.2500 0.2500
Ga 0.0000 0.0000 0.0000
Tm 0.5000 0.5000 0.5000
Co 0.7500 0.7500 0.7500
CELL_PARAMETERS angstrom
-3.9626 -1.8698 0.1287
-0.3630 -4.3280 0.5930
-1.5606 -1.5706 3.7832
```

Formation enthalpy at 0 K (meV per atom): -361
Final energy (eV/atom): -5.458



No. 3
Here is a relaxed GaCoNiW crystal from Alexandria via LeMat-Bulk. Energies are from PBE. Values from VASP.

Quantum ESPRESSO input file:
```
&SYSTEM
  ibrav = 0, nat = 4, ntyp = 4
/
ATOMIC_SPECIES
Co 58.93 Co.upf
Ni 58.69 Ni.upf
W 183.84 W.upf
Ga 69.72 Ga.upf
ATOMIC_POSITIONS crystal
Co 0.0000 0.0000 0.0000
Ni 0.5000 0.5000 0.5000
W 0.7500 0.7500 0.7500
Ga 0.2500 0.2500 0.2500
CELL_PARAMETERS angstrom
-0.6483 -2.0716 3.5638
2.9638 -0.0787 2.9364
-0.5392 2.0998 3.5655
```

Formation enthalpy at 0 K (meV per atom): -20
Final energy (eV/atom): -7.237



No. 4
Here is a relaxed YGa3CoNi crystal from Alexandria via LeMat-Bulk. Energies are from PBE. Values from VASP.

Quantum ESPRESSO input file:
```
&SYSTEM
  ibrav = 0, nat = 12, ntyp = 4
/
ATOMIC_SPECIES
Ga 69.72 Ga.upf
Ni 58.69 Ni.upf
Y 88.91 Y.upf
Co 58.93 Co.upf
ATOMIC_POSITIONS crystal
Ga 0.0000 0.2569 0.0000
Ga 0.5000 0.7431 0.0000
Ga 0.2500 0.1897 0.3795
Ga 0.5000 0.2569 0.0000
Ga 0.0000 0.7431 0.0000
Ga 0.7500 0.8103 0.6205
Ni 0.2500 0.9628 0.9256
Ni 0.7500 0.0372 0.0744
Y 0.2500 0.7017 0.4034
Y 0.7500 0.2983 0.5966
Co 0.2500 0.4194 0.8389
Co 0.7500 0.5806 0.1611
CELL_PARAMETERS angstrom
-1.7144 -3.2908 3.9138
7.2904 -1.8492 1.6386
-3.4160 4.8193 2.5559
```

Formation enthalpy at 0 K (meV per atom): -280
Final energy (eV/atom): -5.019



No. 5
Here is a relaxed Y2Ga6CoNi crystal from Alexandria via LeMat-Bulk. Energies are from PBE. Values from VASP.

Quantum ESPRESSO input file:
```
&SYSTEM
  ibrav = 0, nat = 10, ntyp = 4
/
ATOMIC_SPECIES
Ga 69.72 Ga.upf
Co 58.93 Co.upf
Y 88.91 Y.upf
Ni 58.69 Ni.upf
ATOMIC_POSITIONS crystal
Ga 0.2498 0.7502 0.0000
Ga 0.7502 0.2498 0.0000
Ga 0.2498 0.2498 0.0000
Ga 0.2498 0.2498 0.5005
Ga 0.7502 0.7502 0.0000
Ga 0.7502 0.7502 0.4995
Co 0.0000 0.0000 0.0000
Y 0.2500 0.7500 0.5000
Y 0.7500 0.2500 0.5000
Ni 0.5000 0.5000 0.0000
CELL_PARAMETERS angstrom
6.4373 -0.0003 0.0000
0.0005 6.4373 0.0000
3.2189 3.2185 4.5519
```

Formation enthalpy at 0 K (meV per atom): -339
Final energy (eV/atom): -4.736



No. 6
Here is a relaxed Y2Ga4CoNi3 crystal from Alexandria via LeMat-Bulk. Energies are from PBE. Values from VASP.

Quantum ESPRESSO input file:
```
&SYSTEM
  ibrav = 0, nat = 10, ntyp = 4
/
ATOMIC_SPECIES
Ni 58.69 Ni.upf
Ga 69.72 Ga.upf
Y 88.91 Y.upf
Co 58.93 Co.upf
ATOMIC_POSITIONS crystal
Ni 0.0000 0.0000 0.5000
Ni 0.0000 0.5000 0.1343
Ni 0.5000 0.0000 0.8657
Ga 0.0000 0.5000 0.3730
Ga 0.5000 0.5000 0.0000
Ga 0.5000 0.0000 0.6270
Ga 0.0000 0.0000 0.0000
Y 0.0000 0.5000 0.7464
Y 0.5000 0.0000 0.2536
Co 0.5000 0.5000 0.5000
CELL_PARAMETERS angstrom
-2.3380 3.0478 -1.2958
-2.8477 -1.0403 2.6913
4.1495 6.0430 6.7265
```

Formation enthalpy at 0 K (meV per atom): -545
Final energy (eV/atom): -5.493



No. 7
Here is a relaxed Y2GaCo3Ni12 crystal from Alexandria via LeMat-Bulk. Energies are from PBE. Values from VASP.

Quantum ESPRESSO input file:
```
&SYSTEM
  ibrav = 0, nat = 18, ntyp = 4
/
ATOMIC_SPECIES
Ni 58.69 Ni.upf
Co 58.93 Co.upf
Y 88.91 Y.upf
Ga 69.72 Ga.upf
ATOMIC_POSITIONS crystal
Ni 0.8005 0.8005 0.2734
Ni 0.8524 0.4203 0.4203
Ni 0.1995 0.7266 0.1995
Ni 0.5797 0.1476 0.5797
Ni 0.4203 0.8524 0.4203
Ni 0.4203 0.4203 0.8524
Ni 0.8005 0.2734 0.8005
Ni 0.7266 0.1995 0.1995
Ni 0.2734 0.8005 0.8005
Ni 0.1476 0.5797 0.5797
Ni 0.5797 0.5797 0.1476
Ni 0.1995 0.1995 0.7266
Co 0.0000 0.5000 0.0000
Co 0.0000 0.0000 0.5000
Co 0.5000 0.0000 0.0000
Y 0.2737 0.2737 0.2737
Y 0.7263 0.7263 0.7263
Ga 0.0000 0.0000 0.0000
CELL_PARAMETERS angstrom
-4.1014 4.6815 -0.3360
-1.8399 -0.2010 5.9519
3.8048 4.4678 2.1008
```

Formation enthalpy at 0 K (meV per atom): 26
Final energy (eV/atom): -5.899



No. 8
Here is a relaxed Y2Ga3CoNi12 crystal from Alexandria via LeMat-Bulk. Energies are from PBE. Values from VASP.

Quantum ESPRESSO input file:
```
&SYSTEM
  ibrav = 0, nat = 18, ntyp = 4
/
ATOMIC_SPECIES
Ga 69.72 Ga.upf
Ni 58.69 Ni.upf
Y 88.91 Y.upf
Co 58.93 Co.upf
ATOMIC_POSITIONS crystal
Ga 0.0000 0.5000 0.0000
Ga 0.0000 0.0000 0.5000
Ga 0.5000 0.0000 0.0000
Ni 0.3532 0.9260 0.9260
Ni 0.4189 0.4189 0.8121
Ni 0.1879 0.5811 0.5811
Ni 0.0740 0.0740 0.6468
Ni 0.9260 0.9260 0.3532
Ni 0.8121 0.4189 0.4189
Ni 0.9260 0.3532 0.9260
Ni 0.5811 0.1879 0.5811
Ni 0.5811 0.5811 0.1879
Ni 0.0740 0.6468 0.0740
Ni 0.6468 0.0740 0.0740
Ni 0.4189 0.8121 0.4189
Y 0.6520 0.6520 0.6520
Y 0.3480 0.3480 0.3480
Co 0.0000 0.0000 0.0000
CELL_PARAMETERS angstrom
-1.1339 7.1782 -5.4741
0.5898 2.4013 -8.7558
-5.1497 2.8952 -6.9192
```

Formation enthalpy at 0 K (meV per atom): 27
Final energy (eV/atom): -5.445